The following is a DFT calculation (PBE) of a relaxed Sr3InBi3 crystal.

Geometry as extended XYZ:
```
28
Lattice="10.7023 -3.6212 0.0000 10.7023 3.6212 0.0000 0.0000 0.0000 14.0314" Properties=species:S:1:pos:R:3 pbc="T T T"
Sr 6.9053 2.1635 1.7621
Sr 6.9053 1.4576 8.7778
Sr 10.7023 2.2189 12.0791
Sr 10.7023 1.4022 5.0634
Sr 14.4993 2.1635 1.7621
Sr 14.4993 1.4576 8.7778
Sr 6.9053 -1.4576 5.2536
Sr 6.9053 -2.1635 12.2692
Sr 10.7023 -1.4022 8.9680
Sr 10.7023 -2.2189 1.9523
Sr 14.4993 -1.4576 5.2536
Sr 14.4993 -2.1635 12.2692
In 1.8983 0.0000 7.0157
In 8.8040 0.0000 0.0000
In 12.6006 0.0000 0.0000
In 19.5063 0.0000 7.0157
Bi 7.2085 1.9514 5.1831
Bi 7.2085 1.6697 12.1988
Bi 10.7023 2.0155 8.6786
Bi 10.7023 1.6056 1.6629
Bi 14.1961 1.9514 5.1831
Bi 14.1961 1.6697 12.1988
Bi 7.2085 -1.6697 1.8326
Bi 7.2085 -1.9514 8.8483
Bi 10.7023 -1.6056 12.3684
Bi 10.7023 -2.0155 5.3528
Bi 14.1961 -1.6697 1.8326
Bi 14.1961 -1.9514 8.8483
```

Computed properties:
The raw total energy is -3.470 eV/atom. For the calculated density, the calculation gives 6.14 g/cm3. The formation energy from the elements is -0.694 eV per atom. As for the polymorph energy (0 for the lowest one): 0.000 eV per atom. The total magnetization comes out at 0.000 μB per formula unit.


The following is a DFT calculation (PBE) of a relaxed Sr2InBi2 crystal.

Geometry as extended XYZ:
```
10
Lattice="2.7431 -8.8889 0.0000 2.7431 8.8889 0.0000 0.0000 0.0000 7.5571" Properties=species:S:1:pos:R:3 pbc="T T T"
Sr 2.7431 8.7072 3.7786
Sr 2.7431 5.2163 5.9682
Sr 2.7431 -5.2163 2.1896
Sr 2.7431 -8.7072 0.0000
In 2.7431 1.7753 5.1168
In 2.7431 -1.7753 1.3383
Bi 2.7431 5.9016 1.9017
Bi 2.7431 1.3104 1.9838
Bi 2.7431 -1.3104 5.7623
Bi 2.7431 -5.9016 5.6803
```

Computed properties:
The raw total energy is -3.403 eV/atom. For the calculated density, the calculation gives 6.38 g/cm3. The formation energy from the elements is -0.630 eV per atom. As for the polymorph energy (0 for the lowest one): 0.000 eV per atom. The total magnetization comes out at 0.000 μB per formula unit.


The following is a DFT calculation (PBE) of a relaxed SrIn2Bi2 crystal.

Geometry as extended XYZ:
```
10
Lattice="8.7685 0.0000 0.0000 0.0000 8.7685 0.0000 0.0000 0.0000 4.1443" Properties=species:S:1:pos:R:3 pbc="T T T"
Sr 0.0000 0.0000 0.0000
Sr 4.3843 4.3843 0.0000
In 1.0788 3.3055 0.0000
In 3.3055 7.6897 0.0000
In 5.4631 1.0788 0.0000
In 7.6897 5.4631 0.0000
Bi 1.5042 5.8885 2.0722
Bi 2.8800 1.5042 2.0722
Bi 5.8885 7.2643 2.0722
Bi 7.2643 2.8800 2.0722
```

Computed properties:
The raw total energy is -3.236 eV/atom. For the calculated density, the calculation gives 7.66 g/cm3. The formation energy from the elements is -0.252 eV per atom. As for the polymorph energy (0 for the lowest one): 0.060 eV per atom. The total magnetization comes out at 0.000 μB per formula unit.


The following is a DFT calculation (PBE) of a relaxed SrInBi2 crystal.

Geometry as extended XYZ:
```
4
Lattice="2.6407 1.5246 6.3140 -2.6407 1.5246 6.3140 0.0000 -3.0492 6.3140" Properties=species:S:1:pos:R:3 pbc="T T T"
Sr 0.0000 0.0000 0.0000
In 0.0000 0.0000 15.4809
Bi 0.0000 0.0000 7.7929
Bi 0.0000 0.0000 10.8474
```

Computed properties:
The raw total energy is -3.280 eV/atom. For the calculated density, the calculation gives 6.75 g/cm3. The formation energy from the elements is -0.235 eV per atom. The total magnetization comes out at 0.000 μB per formula unit.


> Which formula does entry 3 have?

SrIn2Bi2